# 1
The following is a PBE calculation of a relaxed Os3Pb crystal, from the Alexandria database.

Properties
Magnetization, Bohr magnetons per cell: 0.00
DFT total energy, eV/atom: -8.57
Calculated formation energy, eV per atom: 0.78

Lattice parameters (Å, degrees): 2.914 2.914 7.829 90.00 90.00 90.00
Atoms (fractional coordinates):
Os (0.000, 0.000, 0.000)
Os (0.500, 0.500, 0.222)
Os (0.500, 0.500, 0.778)
Pb (0.000, 0.000, 0.500)



# 2
The following is a PBE calculation of a relaxed DyTlCdPb crystal, from the Alexandria database.

Properties
Magnetization, Bohr magnetons per cell: 0.00
DFT total energy, eV/atom: -3.18
Calculated formation energy, eV per atom: -0.29
Distance to the lowest polymorph of the same formula, eV/atom: 0.000

Lattice parameters (Å, degrees): 4.550 4.686 4.956 90.00 90.00 90.00
Atoms (fractional coordinates):
Dy (0.000, 0.000, 0.000)
Tl (0.500, 0.000, 0.500)
Cd (0.000, 0.500, 0.500)
Pb (0.500, 0.500, 0.000)



Please write out number 1 again, unchanged.
The following is a PBE calculation of a relaxed Os3Pb crystal, from the Alexandria database.

Properties
Magnetization, Bohr magnetons per cell: 0.00
DFT total energy, eV/atom: -8.57
Calculated formation energy, eV per atom: 0.78

Lattice parameters (Å, degrees): 2.914 2.914 7.829 90.00 90.00 90.00
Atoms (fractional coordinates):
Os (0.000, 0.000, 0.000)
Os (0.500, 0.500, 0.222)
Os (0.500, 0.500, 0.778)
Pb (0.000, 0.000, 0.500)



Please write out number 2 again, unchanged.
The following is a PBE calculation of a relaxed DyTlCdPb crystal, from the Alexandria database.

Properties
Magnetization, Bohr magnetons per cell: 0.00
DFT total energy, eV/atom: -3.18
Calculated formation energy, eV per atom: -0.29
Distance to the lowest polymorph of the same formula, eV/atom: 0.000

Lattice parameters (Å, degrees): 4.550 4.686 4.956 90.00 90.00 90.00
Atoms (fractional coordinates):
Dy (0.000, 0.000, 0.000)
Tl (0.500, 0.000, 0.500)
Cd (0.000, 0.500, 0.500)
Pb (0.500, 0.500, 0.000)



Repeat the first record exactly.
The following is a PBE calculation of a relaxed Os3Pb crystal, from the Alexandria database.

Properties
Magnetization, Bohr magnetons per cell: 0.00
DFT total energy, eV/atom: -8.57
Calculated formation energy, eV per atom: 0.78

Lattice parameters (Å, degrees): 2.914 2.914 7.829 90.00 90.00 90.00
Atoms (fractional coordinates):
Os (0.000, 0.000, 0.000)
Os (0.500, 0.500, 0.222)
Os (0.500, 0.500, 0.778)
Pb (0.000, 0.000, 0.500)



Q: The highest DFT total energy belongs to which entry?
A: DyTlCdPb